# ThBeCoSi2

A geometry-optimized ThBeCoSi2 structure (PBE, Alexandria).

Lattice parameters (Å, degrees): 3.991 3.991 5.637 110.73 110.73 90.00
Sites, in units of the cell vectors:
Th  0.000  0.000  0.000
Be  0.250  0.750  0.500
Si  0.630  0.630  0.261
Si  0.370  0.370  0.739
Co  0.750  0.250  0.500

Output
- ρ: 7.61 g cm⁻³
- Formation energy without anion corrections: -643 meV per atom
- Space-group type: No. 119


# Ti2Be2Co5Si

A geometry-optimized Ti2Be2Co5Si structure (PBE, Alexandria).

Lattice parameters (Å, degrees): 3.008 8.489 8.489 90.00 90.00 90.00
Sites, in units of the cell vectors:
Co  0.500  0.932  0.208
Co  0.500  0.792  0.932
Co  0.500  0.208  0.068
Co  0.500  0.068  0.792
Co  0.500  0.500  0.000
Co  0.500  0.568  0.708
Co  0.500  0.000  0.500
Co  0.500  0.292  0.568
Co  0.500  0.708  0.432
Co  0.500  0.432  0.292
Ti  0.000  0.825  0.675
Ti  0.000  0.675  0.175
Ti  0.000  0.325  0.825
Ti  0.000  0.175  0.325
Be  0.000  0.621  0.879
Be  0.000  0.379  0.121
Be  0.000  0.121  0.621
Be  0.000  0.879  0.379
Si  0.000  0.500  0.500
Si  0.000  0.000  0.000

Output
- ρ: 6.69 g cm⁻³
- Formation energy without anion corrections: -478 meV per atom
- Space-group type: No. 127


# TmBe2Co2Si

A geometry-optimized TmBe2Co2Si structure (PBE, Alexandria).

Lattice parameters (Å, degrees): 4.105 4.105 5.306 90.00 90.00 90.00
Each line ends with the local moment (μB).
Sites, in units of the cell vectors:
Co  0.500  0.000  0.000  0.60
Co  0.000  0.500  0.000  0.60
Be  0.500  0.500  0.764  -0.01
Be  0.500  0.500  0.236  -0.01
Si  0.000  0.000  0.000  0.00
Tm  0.000  0.000  0.500  -0.01

Output
- ρ: 6.18 g cm⁻³
- Formation energy without anion corrections: 30 meV per atom
- Space-group type: No. 123


# TmBeCoSi2

A geometry-optimized TmBeCoSi2 structure (PBE, Alexandria).

Lattice parameters (Å, degrees): 3.809 3.809 5.598 109.89 109.89 90.00
Sites, in units of the cell vectors:
Si  0.623  0.623  0.245
Si  0.377  0.377  0.755
Be  0.250  0.750  0.500
Tm  0.000  0.000  0.000
Co  0.750  0.250  0.500

Output
- ρ: 6.83 g cm⁻³
- Formation energy without anion corrections: -634 meV per atom
- Space-group type: No. 119


# Tm2Be2Co5Si

A geometry-optimized Tm2Be2Co5Si structure (PBE, Alexandria).

Lattice parameters (Å, degrees): 3.030 9.042 9.042 90.00 90.00 90.00
Each line ends with the local moment (μB).
Sites, in units of the cell vectors:
Si  0.000  0.000  0.000  0.00
Si  0.000  0.500  0.500  0.00
Co  0.500  0.063  0.793  -0.05
Co  0.500  0.207  0.063  -0.05
Co  0.500  0.293  0.563  -0.05
Co  0.500  0.937  0.207  -0.05
Co  0.500  0.000  0.500  0.21
Co  0.500  0.707  0.437  -0.05
Co  0.500  0.437  0.293  -0.05
Co  0.500  0.500  0.000  0.21
Co  0.500  0.563  0.707  -0.05
Co  0.500  0.793  0.937  -0.05
Be  0.000  0.119  0.619  0.00
Be  0.000  0.619  0.881  0.00
Be  0.000  0.381  0.119  0.00
Be  0.000  0.881  0.381  0.00
Tm  0.000  0.323  0.823  0.00
Tm  0.000  0.823  0.677  0.00
Tm  0.000  0.677  0.177  0.00
Tm  0.000  0.177  0.323  0.00

Output
- ρ: 9.10 g cm⁻³
- Formation energy without anion corrections: -338 meV per atom
- Space-group type: No. 127


# Tm2BeCo6Si

A geometry-optimized Tm2BeCo6Si structure (PBE, Alexandria).

Lattice parameters (Å, degrees): 5.807 5.807 5.807 60.00 60.00 90.00
Each line ends with the local moment (μB).
Sites, in units of the cell vectors:
Co  0.740  0.740  0.520  0.43
Co  0.740  0.740  0.000  0.43
Co  0.260  0.260  0.480  0.43
Co  0.260  0.260  0.000  0.43
Co  0.260  0.740  0.000  0.43
Co  0.740  0.260  0.000  0.43
Si  0.000  0.000  0.000  -0.03
Be  0.500  0.500  0.000  -0.04
Tm  0.750  0.250  0.500  -0.17
Tm  0.250  0.750  0.500  -0.17

Output
- ρ: 8.74 g cm⁻³
- Formation energy without anion corrections: -92 meV per atom
- Space-group type: No. 225


# U2Be4CoSi3

A geometry-optimized U2Be4CoSi3 structure (PBE, Alexandria).

Lattice parameters (Å, degrees): 3.840 3.840 9.236 90.00 90.00 90.00
Each line ends with the local moment (μB).
Sites, in units of the cell vectors:
Be  0.000  0.500  0.376  0.00
Be  0.500  0.500  0.000  0.00
Be  0.500  0.000  0.624  0.00
Be  0.000  0.000  0.000  0.01
U  0.000  0.500  0.741  1.76
U  0.500  0.000  0.259  1.76
Si  0.000  0.500  0.137  -0.03
Si  0.500  0.000  0.863  -0.03
Si  0.000  0.000  0.500  -0.02
Co  0.500  0.500  0.500  -0.53

Output
- ρ: 7.99 g cm⁻³
- Formation energy without anion corrections: -241 meV per atom
- Space-group type: No. 115


# U2Be3CoSi4

A geometry-optimized U2Be3CoSi4 structure (PBE, Alexandria).

Lattice parameters (Å, degrees): 3.906 3.906 9.221 90.00 90.00 90.00
Each line ends with the local moment (μB).
Sites, in units of the cell vectors:
U  0.000  0.500  0.748  1.80
U  0.500  0.000  0.252  1.80
Si  0.000  0.500  0.369  -0.02
Si  0.500  0.500  0.000  -0.02
Si  0.000  0.000  0.000  -0.02
Si  0.500  0.000  0.631  -0.02
Be  0.000  0.000  0.500  -0.01
Be  0.000  0.500  0.130  -0.01
Be  0.500  0.000  0.870  -0.01
Co  0.500  0.500  0.500  -0.37

Output
- ρ: 7.96 g cm⁻³
- Formation energy without anion corrections: -313 meV per atom
- Space-group type: No. 115


Number 1: total magnetic moment 0.0 Bohr magnetons per cell. Number 2: total magnetic moment 0.0 Bohr magnetons per cell. Number 3: total magnetic moment 1.1 Bohr magnetons per cell. Number 4: total magnetic moment 0.0 Bohr magnetons per cell. Number 5: total magnetic moment 0.0 Bohr magnetons per cell. Number 6: total magnetic moment 2.0 Bohr magnetons per cell. Number 7: total magnetic moment 3.4 Bohr magnetons per cell. Number 8: total magnetic moment 3.6 Bohr magnetons per cell.